No. 1
This record from Alexandria describes a relaxed structure of Sm6HgSb2. The functional is PBE-GGA.

Formation energy (no corrections) ... -5.6 eV/f.u.
Theoretical density ... 8.29 Mg/m³
Crystal system ... hexagonal

Unit cell a=4.203 b=8.606 c=8.606 alpha=120.00 beta=90.00 gamma=90.00
Fractional coordinates of all 9 atoms:
1 Sm 0.500 0.594 0.000
2 Sm 0.500 0.406 0.406
3 Sm 0.500 0.000 0.594
4 Sm 0.000 0.265 0.000
5 Sm 0.000 0.735 0.735
6 Sm 0.000 0.000 0.265
7 Hg 0.500 0.000 0.000
8 Sb 0.000 0.333 0.667
9 Sb 0.000 0.667 0.333

No. 2
This record from Alexandria describes a relaxed structure of LaNiBAs2. The functional is PBE-GGA.

Theoretical density ... 3.84 Mg/m³
ΔH_f (0 K) ... 8.859 eV/f.u.
Crystal system ... tetragonal

Unit cell a=5.659 b=4.835 c=5.659 alpha=90.00 beta=90.00 gamma=90.00
Fractional coordinates of all 5 atoms:
1 Ni 0.000 0.500 0.000
2 As 0.000 0.000 0.500
3 As 0.500 0.000 0.000
4 B 0.500 0.500 0.500
5 La 0.000 0.000 0.000

No. 3
This record from Alexandria describes a relaxed structure of RbFeBr3. The functional is PBE-GGA.

Formation energy (no corrections) ... -3.4 eV/f.u.
Theoretical density ... 4.23 Mg/m³
Crystal system ... monoclinic

Unit cell a=14.874 b=9.650 c=9.650 alpha=89.20 beta=129.30 gamma=50.70
Fractional coordinates of all 20 atoms:
1 Br 0.415 0.423 0.442
2 Br 0.085 0.942 0.923
3 Br 0.585 0.577 0.558
4 Br 0.915 0.058 0.077
5 Br 0.075 0.212 0.159
6 Br 0.425 0.659 0.712
7 Br 0.925 0.788 0.841
8 Br 0.575 0.341 0.288
9 Br 0.607 0.841 0.837
10 Br 0.893 0.337 0.341
11 Br 0.393 0.159 0.163
12 Br 0.107 0.663 0.659
13 Rb 0.111 0.470 0.347
14 Rb 0.389 0.847 0.970
15 Rb 0.889 0.530 0.653
16 Rb 0.611 0.153 0.030
17 Fe 0.750 0.187 0.687
18 Fe 0.250 0.813 0.313
19 Fe 0.750 0.455 0.955
20 Fe 0.250 0.545 0.045

No. 4
This record from Alexandria describes a relaxed structure of SiSb3Os. The functional is PBE-GGA.

E above lowest polymorph ... 579 meV per atom
Formation energy (no corrections) ... 7.5 eV/f.u.
Theoretical density ... 7.71 Mg/m³
Crystal system ... cubic

Unit cell a=5.008 b=5.008 c=5.008 alpha=90.00 beta=90.00 gamma=90.00
Fractional coordinates of all 5 atoms:
1 Sb 0.000 0.500 0.000
2 Sb 0.000 0.000 0.500
3 Sb 0.500 0.000 0.000
4 Si 0.000 0.000 0.000
5 Os 0.500 0.500 0.500

No. 5
This record from Alexandria describes a relaxed structure of Pr2CdHPd6. The functional is PBE-GGA.

DFT total energy ... -5.060 eV/atom
Theoretical density ... 9.20 Mg/m³
Crystal system ... triclinic

Unit cell a=5.797 b=7.234 c=7.237 alpha=47.29 beta=66.24 gamma=89.93
Fractional coordinates of all 10 atoms:
1 Pr 0.732 0.265 0.533
2 Pr 0.268 0.735 0.467
3 Cd 0.000 0.000 0.000
4 H 0.500 0.500 0.000
5 Pd 0.273 0.225 0.449
6 Pd 0.769 0.724 0.954
7 Pd 0.273 0.723 0.950
8 Pd 0.727 0.277 0.050
9 Pd 0.231 0.276 0.046
10 Pd 0.727 0.775 0.551

No. 6
This record from Alexandria describes a relaxed structure of NdY5Sn6. The functional is PBE-GGA.

Theoretical density ... 6.34 Mg/m³
ΔH_f (0 K) ... -7.851 eV/f.u.
Crystal system ... monoclinic

Unit cell a=9.195 b=5.787 c=7.661 alpha=67.81 beta=80.65 gamma=64.52
Fractional coordinates of all 12 atoms:
1 Nd 0.000 0.000 0.000
2 Y 0.500 0.163 0.675
3 Y 0.000 0.330 0.339
4 Y 0.500 0.500 0.000
5 Y 0.000 0.670 0.661
6 Y 0.500 0.837 0.325
7 Sn 0.745 0.091 0.338
8 Sn 0.255 0.572 0.338
9 Sn 0.247 0.271 0.000
10 Sn 0.753 0.729 0.000
11 Sn 0.745 0.428 0.662
12 Sn 0.255 0.909 0.662